This record from Alexandria via LeMat-Bulk describes a geometry-optimized Ti8Ga2Bi structure. The functional is PBE-GGA.

Properties
SG ... C2/m, No. 12
Formation energy from the elements ... -146 kJ/mol of formula units
Size of the total moment ... 0.00 μB per formula unit
E ... -0.2493 hartree per atom
Calculated density ... 6.257 Mg/m³

Lattice parameters (Å, degrees): 5.158 7.704 7.704 40.10 80.44 80.44
Atoms (fractional coordinates):
Ga (0.354, 0.259, 0.259)
Ga (0.646, 0.741, 0.741)
Ti (0.478, 0.842, 0.355)
Ti (0.522, 0.645, 0.158)
Ti (0.999, 0.404, 0.404)
Ti (0.478, 0.355, 0.842)
Ti (0.001, 0.596, 0.596)
Ti (0.118, 0.782, 0.782)
Ti (0.522, 0.158, 0.645)
Ti (0.882, 0.218, 0.218)
Bi (0.000, 0.000, 0.000)